A plane-wave DFT calculation with PBE with a Hubbard U was carried out for ScMn2BiO after structural relaxation.

abc: 5.7623 5.7623 3.8208
angles: 90.00 90.00 90.00
Last column: nearest neighbours and their distance in Å.
Atoms (fractional coordinates):
Sc: 0.0000 0.0000 0.0000  2 O 1.91
Mn: 0.0000 0.5000 0.0000  2 Sc 2.88
Mn: 0.5000 0.0000 0.0000  2 Sc 2.88
Bi: 0.5000 0.5000 0.5000  8 Mn 3.46, 2 Bi 3.82
O: 0.0000 0.0000 0.5000  2 Sc 1.91

Computed properties:
Total DFT energy (no corrections): -6.1311 eV per atom
Volume: 127 Å³ per cell
Total moment: 9.260 μB/cell
SG: No. 123